Here is a relaxed CuHgB crystal from Alexandria. Energies are from GGA-PBE.

Results
The calculation puts the total energy at -3.29 eV per atom. The magnetic moment is 0.0 μB/f.u. Its energy relative to the elements is 0.40 eV/atom. As for the energy above the lowest structure with this stoichiometry: 0.0952 eV per atom.

Unit cell a=3.8859 b=4.6362 c=5.7543 alpha=88.99 beta=89.95 gamma=65.60
Space group P1 (No. 1)
Symmetry-distinct sites (fractional):
Cu (0.0000, 0.0000, 0.0000) [1 per cell]
Cu (0.4785, 0.9987, 0.5008) [1 per cell]
Hg (0.0196, 0.5114, 0.7214) [1 per cell]
Hg (0.5291, 0.4880, 0.2763) [1 per cell]
B (0.4975, 0.0021, 0.1427) [1 per cell]
B (0.5001, 0.9973, 0.8579) [1 per cell]

---

Here is a relaxed Nb2CrOs crystal from Alexandria. Energies are from GGA-PBE.

Results
The calculation puts the total energy at -10.41 eV per atom. The magnetic moment is 0.0 μB/f.u. Its energy relative to the elements is -0.16 eV/atom.

Unit cell a=3.1406 b=3.1406 c=6.3311 alpha=90.00 beta=90.00 gamma=90.00
Space group P4/mmm (No. 123)
Symmetry-distinct sites (fractional):
Nb (0.0000, 0.0000, 0.2394) [2 per cell]
Cr (0.5000, 0.5000, 0.0000) [1 per cell]
Os (0.5000, 0.5000, 0.5000) [1 per cell]

---

Here is a relaxed SmEuCdAu crystal from Alexandria. Energies are from GGA-PBE.

Results
The calculation puts the total energy at -5.32 eV per atom. The magnetic moment is 7.2 μB/f.u. Its energy relative to the elements is -0.52 eV/atom.

Unit cell a=7.5542 b=7.5542 c=7.5542 alpha=90.00 beta=90.00 gamma=90.00
Space group F-43m (No. 216)
Symmetry-distinct sites (fractional):
Sm (0.0000, 0.0000, 0.0000) [4 per cell]
Eu (0.0000, 0.0000, 0.5000) [4 per cell]
Cd (0.2500, 0.2500, 0.7500) [4 per cell]
Au (0.2500, 0.2500, 0.2500) [4 per cell]

---

Here is a relaxed CuRuPtN2 crystal from Alexandria. Energies are from GGA-PBE.

Results
The calculation puts the total energy at -5.22 eV per atom. The magnetic moment is 5.1 μB/f.u. Its uncorrected formation energy is 2.00 eV/atom.

Unit cell a=3.7163 b=3.7163 c=5.0572 alpha=90.00 beta=90.00 gamma=90.00
Space group P4/mmm (No. 123)
Symmetry-distinct sites (fractional):
Cu (0.0000, 0.0000, 0.0000) [1 per cell]
Ru (0.0000, 0.0000, 0.5000) [1 per cell]
Pt (0.5000, 0.5000, 0.5000) [1 per cell]
N (0.0000, 0.5000, 0.0000) [2 per cell]

---

Here is a relaxed RbTc3Cl crystal from Alexandria. Energies are from GGA-PBE.

Results
The calculation puts the total energy at -5.11 eV per atom. The magnetic moment is 2.7 μB/f.u. As for the energy above the lowest structure with this stoichiometry: 0.0000 eV per atom. Its uncorrected formation energy is 1.67 eV/atom.

Unit cell a=4.5902 b=4.5902 c=4.5902 alpha=90.00 beta=90.00 gamma=90.00
Space group Pm-3m (No. 221)
Symmetry-distinct sites (fractional):
Rb (0.0000, 0.0000, 0.0000) [1 per cell]
Tc (0.0000, 0.5000, 0.5000) [3 per cell]
Cl (0.5000, 0.5000, 0.5000) [1 per cell]

---

Here is a relaxed Sc6Sn2PbSe3 crystal from Alexandria. Energies are from GGA-PBE.

Results
The calculation puts the total energy at -6.05 eV per atom. The magnetic moment is 0.0 μB/f.u. Its uncorrected formation energy is -1.04 eV/atom.

Unit cell a=18.2753 b=3.9620 c=8.2454 alpha=90.00 beta=113.37 gamma=90.00
Space group C2/m (No. 12)
Symmetry-distinct sites (fractional):
Sc (0.0106, 0.0000, 0.2294) [4 per cell]
Sc (0.1629, 0.5000, 0.0813) [4 per cell]
Sc (0.1757, 0.5000, 0.5612) [4 per cell]
Sn (0.1587, 0.0000, 0.8104) [4 per cell]
Pb (0.0000, 0.5000, 0.5000) [2 per cell]
Se (0.0000, 0.5000, 0.0000) [2 per cell]
Se (0.1674, 0.0000, 0.3218) [4 per cell]

---

- magnetic moment of number 4 (CuRuPtN2)?
  5.1 μB/f.u.